*i*
First-principles (PBE) data for a relaxed HfAs3C crystal, as listed in Alexandria via LeMat-Bulk.

POSCAR file:
```
HfAs3C
1.0
4.3596 0.0000 0.0000
0.0000 4.3596 0.0000
0.0000 0.0000 4.3596
Hf As C
1 3 1
direct
0.0000 0.0000 0.0000
0.0000 0.5000 0.5000
0.5000 0.0000 0.5000
0.5000 0.5000 0.0000
0.5000 0.5000 0.5000
```

Values from the calculation:
V ... 82.86 Å³ per cell
Density ... 8322 kg/m³
Density of states at the Fermi level ... 3.23 states/eV/cell
Size of the total moment ... 0.0 μB/f.u.
Crystal system ... cubic

*ii*
First-principles (PBE) data for a relaxed HfAs3C crystal, as listed in Alexandria via LeMat-Bulk.

POSCAR file:
```
HfAs3C
1.0
5.1247 0.0000 0.0000
0.0000 5.1247 0.0000
0.0000 0.0000 5.1247
Hf As C
1 3 1
direct
0.0000 0.0000 0.0000
0.0000 0.0000 0.5000
0.0000 0.5000 0.0000
0.5000 0.0000 0.0000
0.5000 0.5000 0.5000
```

Values from the calculation:
V ... 134.59 Å³ per cell
Density ... 5123 kg/m³
Density of states at the Fermi level ... 7.69 states/eV/cell
Size of the total moment ... 1.7 μB/f.u.
Crystal system ... cubic

Stability check: which of them is least stable? *ii*.

*i*
First-principles (PBE) data for a relaxed HfAs2C crystal, as listed in Alexandria via LeMat-Bulk.

POSCAR file:
```
HfAs2C
1.0
5.9599 0.0000 0.0000
0.0000 5.9599 0.0000
0.0000 0.0000 7.7814
Hf As C
4 8 4
direct
0.0000 0.0000 0.0000
0.0000 0.5000 0.2500
0.5000 0.0000 0.7500
0.5000 0.5000 0.5000
0.1582 0.7500 0.6250
0.2500 0.1582 0.3750
0.2500 0.3418 0.8750
0.3418 0.7500 0.1250
0.6582 0.2500 0.1250
0.7500 0.6582 0.8750
0.7500 0.8418 0.3750
0.8418 0.2500 0.6250
0.0000 0.0000 0.5000
0.0000 0.5000 0.7500
0.5000 0.0000 0.2500
0.5000 0.5000 0.0000
```

Values from the calculation:
V ... 276.40 Å³ per cell
Density ... 8179 kg/m³
Density of states at the Fermi level ... 6.19 states/eV/cell
Size of the total moment ... 0.0 μB/f.u.
Crystal system ... tetragonal

*ii*
First-principles (PBE) data for a relaxed HfAs2C crystal, as listed in Alexandria via LeMat-Bulk.

POSCAR file:
```
HfAs2C
1.0
6.4451 0.0000 0.0000
0.0000 6.4451 0.0000
0.0000 0.0000 6.4451
Hf As C
4 8 4
direct
0.0000 0.0000 0.0000
0.0000 0.5000 0.5000
0.5000 0.0000 0.5000
0.5000 0.5000 0.0000
0.2500 0.2500 0.2500
0.2500 0.2500 0.7500
0.2500 0.7500 0.2500
0.2500 0.7500 0.7500
0.7500 0.2500 0.2500
0.7500 0.2500 0.7500
0.7500 0.7500 0.2500
0.7500 0.7500 0.7500
0.0000 0.0000 0.5000
0.0000 0.5000 0.0000
0.5000 0.0000 0.0000
0.5000 0.5000 0.5000
```

Values from the calculation:
V ... 267.73 Å³ per cell
Density ... 8444 kg/m³
Density of states at the Fermi level ... 15.28 states/eV/cell
Size of the total moment ... 0.0 μB/f.u.
Crystal system ... cubic

Stability check: which of them is least stable? *ii*.

*i*
First-principles (PBE) data for a relaxed HgAsC3 crystal, as listed in Alexandria via LeMat-Bulk.

POSCAR file:
```
HgAsC3
1.0
4.0131 0.0000 0.0000
0.0000 4.0131 0.0000
0.0000 0.0000 4.0131
Hg As C
1 1 3
direct
0.0000 0.0000 0.0000
0.5000 0.5000 0.5000
0.0000 0.5000 0.5000
0.5000 0.0000 0.5000
0.5000 0.5000 0.0000
```

Values from the calculation:
V ... 64.63 Å³ per cell
Density ... 8005 kg/m³
Density of states at the Fermi level ... 3.24 states/eV/cell
Size of the total moment ... 0.0 μB/f.u.
Crystal system ... cubic

*ii*
First-principles (PBE) data for a relaxed HgAsC3 crystal, as listed in Alexandria via LeMat-Bulk.

POSCAR file:
```
HgAsC3
1.0
4.3125 0.0000 0.0000
0.0000 4.3125 0.0000
0.0000 0.0000 4.3125
Hg As C
1 1 3
direct
0.0000 0.0000 0.0000
0.5000 0.5000 0.5000
0.0000 0.0000 0.5000
0.0000 0.5000 0.0000
0.5000 0.0000 0.0000
```

Values from the calculation:
V ... 80.20 Å³ per cell
Density ... 6450 kg/m³
Density of states at the Fermi level ... 3.13 states/eV/cell
Size of the total moment ... 1.7 μB/f.u.
Crystal system ... cubic

Stability check: which of them is least stable? *ii*.

*i*
First-principles (PBE) data for a relaxed HgAsCSe2 crystal, as listed in Alexandria via LeMat-Bulk.

POSCAR file:
```
HgAsCSe2
1.0
4.5884 0.0000 0.0000
0.0000 4.5884 0.0000
0.0000 0.0000 4.4112
Hg As C Se
1 1 1 2
direct
0.0000 0.0000 0.0000
0.5000 0.5000 0.0000
0.5000 0.5000 0.5000
0.0000 0.5000 0.5000
0.5000 0.0000 0.5000
```

Values from the calculation:
V ... 92.87 Å³ per cell
Density ... 7965 kg/m³
Density of states at the Fermi level ... 3.51 states/eV/cell
Size of the total moment ... 0.0 μB/f.u.
Crystal system ... tetragonal

*ii*
First-principles (PBE) data for a relaxed HgAsCSe2 crystal, as listed in Alexandria via LeMat-Bulk.

POSCAR file:
```
HgAsCSe2
1.0
5.2790 0.0000 0.0000
0.0000 5.2790 0.0000
0.0000 0.0000 5.2745
Hg As C Se
1 1 1 2
direct
0.0000 0.0000 0.0000
0.0000 0.0000 0.5000
0.5000 0.5000 0.5000
0.0000 0.5000 0.0000
0.5000 0.0000 0.0000
```

Values from the calculation:
V ... 146.99 Å³ per cell
Density ... 5032 kg/m³
Density of states at the Fermi level ... 6.23 states/eV/cell
Size of the total moment ... 0.5 μB/f.u.
Crystal system ... tetragonal

Stability check: which of them is least stable? *ii*.

*i*
First-principles (PBE) data for a relaxed HgAs2CSe crystal, as listed in Alexandria via LeMat-Bulk.

POSCAR file:
```
HgAs2CSe
1.0
5.2237 0.0000 0.0000
0.0000 5.2237 0.0000
0.0000 0.0000 5.2700
Hg As C Se
1 2 1 1
direct
0.0000 0.0000 0.0000
0.0000 0.5000 0.0000
0.5000 0.0000 0.0000
0.5000 0.5000 0.5000
0.0000 0.0000 0.5000
```

Values from the calculation:
V ... 143.81 Å³ per cell
Density ... 5097 kg/m³
Density of states at the Fermi level ... 7.07 states/eV/cell
Size of the total moment ... 0.2 μB/f.u.
Crystal system ... tetragonal

*ii*
First-principles (PBE) data for a relaxed HgAs2CSe crystal, as listed in Alexandria via LeMat-Bulk.

POSCAR file:
```
HgAs2CSe
1.0
4.5658 0.0000 0.0000
0.0000 4.5658 0.0000
0.0000 0.0000 4.3907
Hg As C Se
1 2 1 1
direct
0.0000 0.0000 0.0000
0.0000 0.5000 0.5000
0.5000 0.0000 0.5000
0.5000 0.5000 0.5000
0.5000 0.5000 0.0000
```

Values from the calculation:
V ... 91.53 Å³ per cell
Density ... 8008 kg/m³
Density of states at the Fermi level ... 2.63 states/eV/cell
Size of the total moment ... 0.0 μB/f.u.
Crystal system ... tetragonal

Stability check: which of them is least stable? *i*.

*i*
First-principles (PBE) data for a relaxed AsCI crystal, as listed in Alexandria via LeMat-Bulk.

POSCAR file:
```
AsCI
1.0
3.2203 0.0000 0.0000
-1.4170 4.5936 0.0000
-0.0776 -1.7065 6.2474
As C I
1 1 1
direct
0.0000 0.0000 0.0000
0.4343 0.8589 0.8444
0.2966 0.5675 0.5307
```

Values from the calculation:
V ... 92.41 Å³ per cell
Density ... 3842 kg/m³
Density of states at the Fermi level ... 1.24 states/eV/cell
Size of the total moment ... 0.0 μB/f.u.
Crystal system ... triclinic

*ii*
First-principles (PBE) data for a relaxed AsCI crystal, as listed in Alexandria via LeMat-Bulk.

POSCAR file:
```
AsCI
1.0
4.8674 0.0000 0.0000
1.2664 5.0816 0.0000
2.0079 0.0184 5.8577
As C I
1 1 1
direct
0.0000 0.0000 0.0000
0.2886 0.8036 0.8101
0.6252 0.5724 0.5816
```

Values from the calculation:
V ... 144.89 Å³ per cell
Density ... 2451 kg/m³
Density of states at the Fermi level ... 0.00 states/eV/cell
Size of the total moment ... 0.0 μB/f.u.
Crystal system ... triclinic

*iii*
First-principles (PBE) data for a relaxed AsCI crystal, as listed in Alexandria via LeMat-Bulk.

POSCAR file:
```
AsCI
1.0
5.2073 0.0000 0.0000
0.0000 3.7796 0.0000
-0.0323 0.0000 7.4742
As C I
2 2 2
direct
0.0000 0.0000 0.0000
0.5000 0.5000 0.0000
0.3650 0.0000 0.9997
0.8650 0.5000 0.9997
0.4242 0.5000 0.4990
0.9242 0.0000 0.4990
```

Values from the calculation:
V ... 147.10 Å³ per cell
Density ... 4828 kg/m³
Density of states at the Fermi level ... 2.31 states/eV/cell
Size of the total moment ... 0.0 μB/f.u.
Crystal system ... monoclinic

Stability check: which of them is least stable? *ii*.

*i*
First-principles (PBE) data for a relaxed AsCI3 crystal, as listed in Alexandria via LeMat-Bulk.

POSCAR file:
```
AsCI3
1.0
5.0376 0.0000 0.0000
0.0000 5.0376 0.0000
0.0000 0.0000 5.0376
As C I
1 1 3
direct
0.0000 0.0000 0.0000
0.5000 0.5000 0.5000
0.0000 0.5000 0.5000
0.5000 0.0000 0.5000
0.5000 0.5000 0.0000
```

Values from the calculation:
V ... 127.84 Å³ per cell
Density ... 6074 kg/m³
Density of states at the Fermi level ... 2.04 states/eV/cell
Size of the total moment ... 0.0 μB/f.u.
Crystal system ... cubic

*ii*
First-principles (PBE) data for a relaxed AsCI3 crystal, as listed in Alexandria via LeMat-Bulk.

POSCAR file:
```
AsCI3
1.0
5.7018 0.0000 0.0000
0.0000 5.7018 0.0000
0.0000 0.0000 5.7018
As C I
1 1 3
direct
0.0000 0.0000 0.0000
0.5000 0.5000 0.5000
0.0000 0.0000 0.5000
0.0000 0.5000 0.0000
0.5000 0.0000 0.0000
```

Values from the calculation:
V ... 185.36 Å³ per cell
Density ... 4189 kg/m³
Density of states at the Fermi level ... 12.07 states/eV/cell
Size of the total moment ... 2.0 μB/f.u.
Crystal system ... cubic

Stability check: which of them is least stable? *ii*.

*i*
First-principles (PBE) data for a relaxed Sb2AsCI crystal, as listed in Alexandria via LeMat-Bulk.

POSCAR file:
```
Sb2AsCI
1.0
5.4837 0.0000 0.0000
0.0000 5.4837 0.0000
0.0000 0.0000 5.5472
Sb As C I
2 1 1 1
direct
0.0000 0.5000 0.0000
0.5000 0.0000 0.0000
0.0000 0.0000 0.0000
0.5000 0.5000 0.5000
0.0000 0.0000 0.5000
```

Values from the calculation:
V ... 166.81 Å³ per cell
Density ... 4553 kg/m³
Density of states at the Fermi level ... 5.46 states/eV/cell
Size of the total moment ... 0.8 μB/f.u.
Crystal system ... tetragonal

*ii*
First-principles (PBE) data for a relaxed Sb2AsCI crystal, as listed in Alexandria via LeMat-Bulk.

POSCAR file:
```
Sb2AsCI
1.0
4.8433 0.0000 0.0000
0.0000 4.8433 0.0000
0.0000 0.0000 4.8720
Sb As C I
2 1 1 1
direct
0.0000 0.5000 0.0000
0.5000 0.0000 0.0000
0.0000 0.0000 0.5000
0.5000 0.5000 0.0000
0.5000 0.5000 0.5000
```

Values from the calculation:
V ... 114.29 Å³ per cell
Density ... 6645 kg/m³
Density of states at the Fermi level ... 3.40 states/eV/cell
Size of the total moment ... 0.0 μB/f.u.
Crystal system ... tetragonal

Stability check: which of them is least stable? *i*.

*i*
First-principles (PBE) data for a relaxed As2CSeI crystal, as listed in Alexandria via LeMat-Bulk.

POSCAR file:
```
As2CSeI
1.0
5.5434 0.0000 0.0000
0.0000 5.5434 0.0000
0.0000 0.0000 5.3321
As C Se I
2 1 1 1
direct
0.0000 0.5000 0.0000
0.5000 0.0000 0.0000
0.0000 0.0000 0.5000
0.5000 0.5000 0.5000
0.5000 0.5000 0.0000
```

Values from the calculation:
V ... 163.85 Å³ per cell
Density ... 3727 kg/m³
Density of states at the Fermi level ... 4.98 states/eV/cell
Size of the total moment ... 0.6 μB/f.u.
Crystal system ... tetragonal

*ii*
First-principles (PBE) data for a relaxed As2CSeI crystal, as listed in Alexandria via LeMat-Bulk.

POSCAR file:
```
As2CSeI
1.0
4.7469 0.0000 0.0000
0.0000 4.7469 0.0000
0.0000 0.0000 4.3048
As C Se I
2 1 1 1
direct
0.0000 0.5000 0.0000
0.5000 0.0000 0.0000
0.0000 0.0000 0.0000
0.0000 0.0000 0.5000
0.5000 0.5000 0.5000
```

Values from the calculation:
V ... 97.00 Å³ per cell
Density ... 6295 kg/m³
Density of states at the Fermi level ... 3.26 states/eV/cell
Size of the total moment ... 0.0 μB/f.u.
Crystal system ... tetragonal

Stability check: which of them is least stable? *i*.

*i*
First-principles (PBE) data for a relaxed AsCSe2I crystal, as listed in Alexandria via LeMat-Bulk.

POSCAR file:
```
AsCSe2I
1.0
4.2976 0.0000 0.0000
0.0000 4.2976 0.0000
0.0000 0.0000 5.6930
As C Se I
1 1 2 1
direct
0.0000 0.0000 0.0000
0.0000 0.0000 0.5000
0.0000 0.5000 0.5000
0.5000 0.0000 0.5000
0.5000 0.5000 0.0000
```

Values from the calculation:
V ... 105.15 Å³ per cell
Density ... 5871 kg/m³
Density of states at the Fermi level ... 2.39 states/eV/cell
Size of the total moment ... 0.0 μB/f.u.
Crystal system ... tetragonal

*ii*
First-principles (PBE) data for a relaxed AsCSe2I crystal, as listed in Alexandria via LeMat-Bulk.

POSCAR file:
```
AsCSe2I
1.0
5.3913 0.0000 0.0000
0.0000 5.3913 0.0000
0.0000 0.0000 5.5961
As C Se I
1 1 2 1
direct
0.0000 0.0000 0.0000
0.5000 0.5000 0.0000
0.0000 0.5000 0.5000
0.5000 0.0000 0.5000
0.0000 0.0000 0.5000
```

Values from the calculation:
V ... 162.66 Å³ per cell
Density ... 3795 kg/m³
Density of states at the Fermi level ... 5.93 states/eV/cell
Size of the total moment ... 0.1 μB/f.u.
Crystal system ... tetragonal

Stability check: which of them is least stable? *ii*.

*i*
First-principles (PBE) data for a relaxed TeAsCI2 crystal, as listed in Alexandria via LeMat-Bulk.

POSCAR file:
```
TeAsCI2
1.0
5.0237 0.0000 0.0000
0.0000 5.0237 0.0000
0.0000 0.0000 4.8043
Te As C I
1 1 1 2
direct
0.0000 0.0000 0.0000
0.5000 0.5000 0.0000
0.0000 0.0000 0.5000
0.0000 0.5000 0.5000
0.5000 0.0000 0.5000
```

Values from the calculation:
V ... 121.25 Å³ per cell
Density ... 6414 kg/m³
Density of states at the Fermi level ... 4.54 states/eV/cell
Size of the total moment ... 0.0 μB/f.u.
Crystal system ... tetragonal

*ii*
First-principles (PBE) data for a relaxed TeAsCI2 crystal, as listed in Alexandria via LeMat-Bulk.

POSCAR file:
```
TeAsCI2
1.0
6.2932 0.0000 0.0000
0.0000 6.2932 0.0000
0.0000 0.0000 4.3173
Te As C I
1 1 1 2
direct
0.0000 0.0000 0.0000
0.5000 0.5000 0.5000
0.0000 0.0000 0.5000
0.0000 0.5000 0.0000
0.5000 0.0000 0.0000
```

Values from the calculation:
V ... 170.99 Å³ per cell
Density ... 4548 kg/m³
Density of states at the Fermi level ... 6.85 states/eV/cell
Size of the total moment ... 3.5 μB/f.u.
Crystal system ... tetragonal

Stability check: which of them is least stable? *ii*.

*i*
First-principles (PBE) data for a relaxed InAs3C crystal, as listed in Alexandria via LeMat-Bulk.

POSCAR file:
```
InAs3C
1.0
4.4892 0.0000 0.0000
0.0000 4.4892 0.0000
0.0000 0.0000 4.4892
In As C
1 3 1
direct
0.0000 0.0000 0.0000
0.0000 0.5000 0.5000
0.5000 0.0000 0.5000
0.5000 0.5000 0.0000
0.5000 0.5000 0.5000
```

Values from the calculation:
V ... 90.47 Å³ per cell
Density ... 6453 kg/m³
Density of states at the Fermi level ... 3.37 states/eV/cell
Size of the total moment ... 0.0 μB/f.u.
Crystal system ... cubic

*ii*
First-principles (PBE) data for a relaxed InAs3C crystal, as listed in Alexandria via LeMat-Bulk.

POSCAR file:
```
InAs3C
1.0
5.2440 0.0000 0.0000
0.0000 5.2440 0.0000
0.0000 0.0000 5.2440
In As C
1 3 1
direct
0.0000 0.0000 0.0000
0.0000 0.0000 0.5000
0.0000 0.5000 0.0000
0.5000 0.0000 0.0000
0.5000 0.5000 0.5000
```

Values from the calculation:
V ... 144.21 Å³ per cell
Density ... 4049 kg/m³
Density of states at the Fermi level ... 5.65 states/eV/cell
Size of the total moment ... 0.3 μB/f.u.
Crystal system ... cubic

Stability check: which of them is least stable? *ii*.